# 1
VASP calculation (PBE) on a relaxed Pu2Ge2Sb crystal.

space group	P4/mbm (127)
D(E_F)	3.345	states/eV/atom
E_tot	-88.4	eV/cell
size of the total moment	10.89	μB/f.u.
formation energy without anion corrections	-0.4314	eV/atom

a = 7.4757 Å, b = 7.4757 Å, c = 4.2435 Å
α = 90.00°, β = 90.00°, γ = 90.00°
Atoms (fractional coordinates):
Pu 0.1754 0.3246 0.0000
Pu 0.3246 0.8246 0.0000
Pu 0.6754 0.1754 0.0000
Pu 0.8246 0.6754 0.0000
Ge 0.1216 0.6216 0.5000
Ge 0.3784 0.1216 0.5000
Ge 0.6216 0.8784 0.5000
Ge 0.8784 0.3784 0.5000
Sb 0.0000 0.0000 0.5000
Sb 0.5000 0.5000 0.5000

***

# 2
VASP calculation (PBE) on a relaxed Tb2Nd2HoTm4 crystal.

space group	C2/m (12)
D(E_F)	1.381	states/eV/atom
formation enthalpy at 0 K	-0.001	eV per atom
E_tot	-41.3	eV/cell
size of the total moment	0.00	μB/f.u.

a = 9.4626 Å, b = 9.4626 Å, c = 9.5170 Å
α = 115.25°, β = 115.25°, γ = 21.81°
Atoms (fractional coordinates):
Tb 0.1469 0.1469 0.1618
Tb 0.8531 0.8531 0.8382
Nd 0.3347 0.3347 0.4993
Nd 0.6653 0.6653 0.5007
Ho 0.0000 0.0000 0.5000
Tm 0.1852 0.1852 0.8370
Tm 0.4804 0.4804 0.1654
Tm 0.5196 0.5196 0.8346
Tm 0.8148 0.8148 0.1630

***

# 3
VASP calculation (PBE) on a relaxed Zr2IrCl crystal.

space group	P4mm (99)
D(E_F)	0.308	states/eV/atom
E above lowest polymorph	337	meV/atom
E_tot	-29.7	eV/cell
size of the total moment	0.00	μB/f.u.
formation energy without anion corrections	-0.4734	eV/atom

a = 3.3401 Å, b = 3.3401 Å, c = 7.9340 Å
α = 90.00°, β = 90.00°, γ = 90.00°
Atoms (fractional coordinates):
Zr 0.0000 0.0000 0.0000
Zr 0.5000 0.5000 0.2754
Ir 0.5000 0.5000 0.8478
Cl 0.0000 0.0000 0.4749

***

- Look up the size of the total moment of the second one.
  0.00 μB/f.u.